1.
A plane-wave DFT calculation with GGA-PBE was carried out for a relaxed Cs3Ni2AgBr8 crystal.

Computed properties:
- formation energy (no corrections) (eV per atom) = -0.929

Unit cell a=7.6894 b=7.6894 c=10.0754 alpha=90.00 beta=90.00 gamma=120.00
Space group P-3m1 (No. 164)
Unique sites:
1 Cs 0.0000 0.0000 0.0000 x1
2 Cs 0.3333 0.6667 0.6373 x2
3 Ni 0.3333 0.6667 0.2260 x2
4 Ag 0.0000 0.0000 0.5000 x1
5 Br 0.1671 0.3343 0.3200 x6
6 Br 0.3333 0.6667 0.9955 x2

***

2.
A plane-wave DFT calculation with GGA-PBE was carried out for a relaxed ErTiCo crystal.

Computed properties:
- formation enthalpy at 0 K (eV/atom) = -0.259

Unit cell a=4.241 b=4.241 c=6.241 alpha=90.00 beta=90.00 gamma=90.00
Space group P4/nmm (No. 129, origin choice 2)
Unique sites:
1 Er 0.250 0.250 0.135 x2
2 Ti 0.250 0.750 0.500 x2
3 Co 0.250 0.250 0.695 x2